No. 1
LiErTlRu: optimized geometry, PBE-GGA.

a b c (Å): 6.7366 6.7366 6.7366
angles (deg): 90.00 90.00 90.00
Space group F-43m (No. 216)
One atom of each set of equivalent atoms:
Li: 0.0000 0.0000 0.0000
Er: 0.2500 0.2500 0.7500
Tl: 0.2500 0.2500 0.2500
Ru: 0.0000 0.0000 0.5000

Calculated values
Energy of formation in eV/atom: -0.14
DOS at the Fermi energy in states/eV per cell: 6.174

***

No. 2
BeTlN: optimized geometry, PBE-GGA.

a b c (Å): 5.3380 3.0791 10.8302
angles (deg): 90.00 99.81 90.00
Space group C2/m (No. 12)
One atom of each set of equivalent atoms:
Be: 0.1896 0.0000 0.0677
Tl: 0.0512 0.0000 0.6856
N: 0.1332 0.0000 0.9012

Calculated values
VASP energy in eV for the cell shown: -59.76
DOS at the Fermi energy in states/eV per cell: 3.266

***

Repeat the second record exactly.
BeTlN: optimized geometry, PBE-GGA.

a b c (Å): 5.3380 3.0791 10.8302
angles (deg): 90.00 99.81 90.00
Space group C2/m (No. 12)
One atom of each set of equivalent atoms:
Be: 0.1896 0.0000 0.0677
Tl: 0.0512 0.0000 0.6856
N: 0.1332 0.0000 0.9012

Calculated values
VASP energy in eV for the cell shown: -59.76
DOS at the Fermi energy in states/eV per cell: 3.266

***

What did the second record say?
BeTlN: optimized geometry, PBE-GGA.

a b c (Å): 5.3380 3.0791 10.8302
angles (deg): 90.00 99.81 90.00
Space group C2/m (No. 12)
One atom of each set of equivalent atoms:
Be: 0.1896 0.0000 0.0677
Tl: 0.0512 0.0000 0.6856
N: 0.1332 0.0000 0.9012

Calculated values
VASP energy in eV for the cell shown: -59.76
DOS at the Fermi energy in states/eV per cell: 3.266

***

DOS at the Fermi energy of number 2 (BeTlN)? 3.266 states/eV per cell